Record 1
Material: CaLaTl
Method: DFT, PBE
State: optimized geometry

As for the energy of formation from the pure elements: -225 meV per atom. Its polymorph energy (0 for the lowest one) is 173.6 meV per atom. The calculation puts the volume at 192.9 Å³ per cell.

The space group is P2/m (No. 10) and the conventional cell measures 3.862, 4.731 and 10.556 Å, with angles of 90.00, 90.42 and 90.00 degrees. The distinct sites, in fractional coordinates, are Ca at (0.006, 0.000, 0.344), La at (0.498, 0.500, 0.850), Tl at (0.000, 0.000, 0.000) and Tl at (0.500, 0.500, 0.500).

---

Record 2
Material: InAsBr
Method: DFT, PBE
State: optimized geometry

For the raw formation energy, the calculation gives -0.0603 eV/atom. Its polymorph energy (0 for the lowest one) is 252.9 meV per atom. The calculation puts the volume at 85.5 Å³ per cell.

The space group is P3m1 (No. 156) and the conventional cell measures 4.3532, 4.3532 and 5.2126 Å, with angles of 90.00, 90.00 and 120.00 degrees. The distinct sites, in fractional coordinates, are In at (0.0000, 0.0000, 0.0000), As at (0.6667, 0.3333, 0.1697) and Br at (0.3333, 0.6667, 0.6107).

---

Record 3
Material: Ca3MgO
Method: DFT, PBE
State: optimized geometry

For the raw formation energy, the calculation gives -1.1337 eV/atom. Its polymorph energy (0 for the lowest one) is 0.0 meV per atom. The calculation puts the volume at 123.7 Å³ per cell.

The space group is Pm-3m (No. 221) and the conventional cell measures 4.982, 4.982 and 4.982 Å, with angles of 90.00, 90.00 and 90.00 degrees. The distinct sites, in fractional coordinates, are Ca at (0.000, 0.000, 0.500), Mg at (0.500, 0.500, 0.500) and O at (0.000, 0.000, 0.000).

---

Record 4
Material: La2AlIn
Method: DFT, PBE
State: optimized geometry

As for the energy of formation from the pure elements: -432 meV per atom. The calculation puts the volume at 116.8 Å³ per cell.

The space group is P4/mmm (No. 123) and the conventional cell measures 3.869, 3.869 and 7.804 Å, with angles of 90.00, 90.00 and 90.00 degrees. The distinct sites, in fractional coordinates, are La at (0.000, 0.000, 0.239), Al at (0.500, 0.500, 0.000) and In at (0.500, 0.500, 0.500).

---

Record 5
Material: KSr2W
Method: DFT, PBE
State: optimized geometry

As for the energy of formation from the pure elements: 1096 meV per atom. Its polymorph energy (0 for the lowest one) is 118.1 meV per atom. The calculation puts the volume at 298.3 Å³ per cell.

The space group is C2/m (No. 12) and the conventional cell measures 6.906, 3.398 and 12.743 Å, with angles of 90.00, 93.89 and 90.00 degrees. The distinct sites, in fractional coordinates, are K at (0.000, 0.000, 0.000), Sr at (0.225, 0.000, 0.687) and W at (0.000, 0.500, 0.500).

---

Record 6
Material: LaBi4Pd12
Method: DFT, PBE
State: optimized geometry

As for the energy of formation from the pure elements: 20 meV per atom. The calculation puts the volume at 762.7 Å³ per cell.

The space group is Im-3 (No. 204) and the conventional cell measures 9.137, 9.137 and 9.137 Å, with angles of 90.00, 90.00 and 90.00 degrees. The distinct sites, in fractional coordinates, are La at (0.000, 0.000, 0.000), Bi at (0.250, 0.250, 0.250) and Pd at (0.000, 0.147, 0.354).

---

Record 7
Material: Sc5CoPd
Method: DFT, PBE
State: optimized geometry

As for the energy of formation from the pure elements: -207 meV per atom. The calculation puts the volume at 598.5 Å³ per cell.

The space group is C2/c (No. 15) and the conventional cell measures 10.491, 6.222 and 9.970 Å, with angles of 90.00, 113.13 and 90.00 degrees. The distinct sites, in fractional coordinates, are Sc at (0.000, 0.035, 0.250), Sc at (0.116, 0.335, 0.017), Sc at (0.223, 0.176, 0.645), Co at (0.000, 0.000, 0.000) and Pd at (0.000, 0.496, 0.250).

---

Record 8
Material: GdMgCd
Method: DFT, PBE
State: optimized geometry

As for the energy of formation from the pure elements: -191 meV per atom. The calculation puts the volume at 152.7 Å³ per cell.

The space group is I4mm (No. 107) and the conventional cell measures 3.479, 3.479 and 12.617 Å, with angles of 90.00, 90.00 and 90.00 degrees. The distinct sites, in fractional coordinates, are Gd at (0.000, 0.000, 0.000), Mg at (0.000, 0.000, 0.688) and Cd at (0.000, 0.000, 0.328).